1.
Entry from Alexandria: Pa3Zn2Pd6 after structural relaxation (PBE). Values from VASP.

- Mass density: 11.549 g cm⁻³
- ΔH_f (0 K): -470 meV/atom
- Space-group type: No. 139
- E_tot: -6.12 eV/atom

Cell and atoms, written as Quantum ESPRESSO input:
```
&SYSTEM
  ibrav = 0, nat = 11, ntyp = 3
/
ATOMIC_SPECIES
Pa 231.04 Pa.upf
Pd 106.42 Pd.upf
Zn 65.41 Zn.upf
CELL_PARAMETERS angstrom
-2.556 2.915 -1.367
-3.160 -1.936 1.780
4.730 6.041 10.218
ATOMIC_POSITIONS crystal
Pa 0.000 0.000 0.000
Pa 0.804 0.804 0.609
Pa 0.196 0.196 0.391
Pd 0.688 0.688 0.376
Pd 0.312 0.312 0.624
Pd 0.892 0.392 0.783
Pd 0.392 0.892 0.783
Pd 0.608 0.108 0.217
Pd 0.108 0.608 0.217
Zn 0.451 0.451 0.903
Zn 0.549 0.549 0.097
```

***

2.
Entry from Alexandria: PaZn4Pd5 after structural relaxation (PBE). Values from VASP.

- Mass density: 10.834 g cm⁻³
- ΔH_f (0 K): -536 meV/atom
- Space-group type: No. 123
- E_tot: -4.59 eV/atom

Cell and atoms, written as Quantum ESPRESSO input:
```
&SYSTEM
  ibrav = 0, nat = 10, ntyp = 3
/
ATOMIC_SPECIES
Zn 65.41 Zn.upf
Pd 106.42 Pd.upf
Pa 231.04 Pa.upf
CELL_PARAMETERS angstrom
-2.260 -1.230 1.779
2.129 -1.720 1.515
1.961 11.829 10.671
ATOMIC_POSITIONS crystal
Zn 0.000 0.000 0.407
Zn 0.000 0.000 0.778
Zn 0.000 0.000 0.222
Zn 0.000 0.000 0.593
Pd 0.500 0.500 0.685
Pd 0.500 0.500 0.500
Pd 0.500 0.500 0.315
Pd 0.500 0.500 0.128
Pd 0.500 0.500 0.872
Pa 0.000 0.000 0.000
```

***

3.
Entry from Alexandria: Pa2Zn2Pd7 after structural relaxation (PBE). Values from VASP.

- Mass density: 11.252 g cm⁻³
- ΔH_f (0 K): -544 meV/atom
- Space-group type: No. 71
- E_tot: -5.81 eV/atom

Cell and atoms, written as Quantum ESPRESSO input:
```
&SYSTEM
  ibrav = 0, nat = 11, ntyp = 3
/
ATOMIC_SPECIES
Pd 106.42 Pd.upf
Pa 231.04 Pa.upf
Zn 65.41 Zn.upf
CELL_PARAMETERS angstrom
-0.612 3.530 0.888
-6.769 -2.445 -2.622
-3.327 -3.934 5.668
ATOMIC_POSITIONS crystal
Pd 0.824 0.628 0.020
Pd 0.176 0.980 0.372
Pd 0.176 0.372 0.980
Pd 0.824 0.020 0.628
Pd 0.885 0.385 0.385
Pd 0.115 0.615 0.615
Pd 0.000 0.000 0.000
Pa 0.500 0.717 0.283
Pa 0.500 0.283 0.717
Zn 0.669 0.169 0.169
Zn 0.331 0.831 0.831
```

***

4.
Entry from Alexandria: PaZn3Pd2 after structural relaxation (PBE). Values from VASP.

- Mass density: 10.136 g cm⁻³
- ΔH_f (0 K): -369 meV/atom
- Space-group type: No. 12
- E_tot: -4.32 eV/atom

Cell and atoms, written as Quantum ESPRESSO input:
```
&SYSTEM
  ibrav = 0, nat = 12, ntyp = 3
/
ATOMIC_SPECIES
Zn 65.41 Zn.upf
Pa 231.04 Pa.upf
Pd 106.42 Pd.upf
CELL_PARAMETERS angstrom
4.206 0.000 0.000
-2.103 6.798 -0.421
0.000 -3.428 7.547
ATOMIC_POSITIONS crystal
Zn 0.056 0.112 0.394
Zn 0.590 0.180 0.700
Zn 0.291 0.583 0.470
Zn 0.944 0.888 0.606
Zn 0.410 0.820 0.300
Zn 0.709 0.417 0.530
Pa 0.865 0.731 0.980
Pa 0.135 0.269 0.020
Pd 0.783 0.565 0.254
Pd 0.445 0.889 0.814
Pd 0.217 0.435 0.746
Pd 0.555 0.111 0.186
```

***

5.
Entry from Alexandria: Pa2ZnPd8 after structural relaxation (PBE). Values from VASP.

- Mass density: 11.706 g cm⁻³
- ΔH_f (0 K): -584 meV/atom
- Space-group type: No. 71
- E_tot: -6.20 eV/atom

Cell and atoms, written as Quantum ESPRESSO input:
```
&SYSTEM
  ibrav = 0, nat = 11, ntyp = 3
/
ATOMIC_SPECIES
Pa 231.04 Pa.upf
Zn 65.41 Zn.upf
Pd 106.42 Pd.upf
CELL_PARAMETERS angstrom
-4.624 -0.814 1.095
1.538 -4.856 2.884
2.272 6.525 3.833
ATOMIC_POSITIONS crystal
Pa 0.183 0.683 0.366
Pa 0.817 0.317 0.634
Zn 0.500 0.000 0.000
Pd 0.000 0.251 0.000
Pd 0.638 0.398 0.276
Pd 0.000 0.749 0.000
Pd 0.182 0.182 0.363
Pd 0.362 0.122 0.724
Pd 0.362 0.602 0.724
Pd 0.818 0.818 0.637
Pd 0.638 0.878 0.276
```

***

6.
Entry from Alexandria: PaZnPd after structural relaxation (PBE). Values from VASP.

- Mass density: 11.621 g cm⁻³
- ΔH_f (0 K): -342 meV/atom
- Space-group type: No. 62
- E_tot: -5.66 eV/atom

Cell and atoms, written as Quantum ESPRESSO input:
```
&SYSTEM
  ibrav = 0, nat = 12, ntyp = 3
/
ATOMIC_SPECIES
Zn 65.41 Zn.upf
Pa 231.04 Pa.upf
Pd 106.42 Pd.upf
CELL_PARAMETERS angstrom
4.463 0.000 0.000
0.000 6.375 0.000
0.000 0.000 8.092
ATOMIC_POSITIONS crystal
Zn 0.250 0.893 0.199
Zn 0.750 0.393 0.301
Zn 0.750 0.107 0.801
Zn 0.250 0.607 0.699
Pa 0.750 0.856 0.482
Pa 0.250 0.144 0.518
Pa 0.250 0.356 0.018
Pa 0.750 0.644 0.982
Pd 0.750 0.423 0.617
Pd 0.250 0.577 0.383
Pd 0.250 0.923 0.883
Pd 0.750 0.077 0.117
```

***

7.
Entry from Alexandria: ZrPaPd6 after structural relaxation (PBE). Values from VASP.

- Mass density: 11.593 g cm⁻³
- ΔH_f (0 K): -801 meV/atom
- Space-group type: No. 187
- E_tot: -6.95 eV/atom

Cell and atoms, written as Quantum ESPRESSO input:
```
&SYSTEM
  ibrav = 0, nat = 8, ntyp = 3
/
ATOMIC_SPECIES
Pd 106.42 Pd.upf
Pa 231.04 Pa.upf
Zr 91.22 Zr.upf
CELL_PARAMETERS angstrom
-2.132 -2.321 3.725
0.803 -4.990 -2.649
3.989 2.024 3.544
ATOMIC_POSITIONS crystal
Pd 0.000 0.586 0.414
Pd 0.000 0.078 0.414
Pd 0.500 0.916 0.582
Pd 0.000 0.586 0.922
Pd 0.500 0.916 0.084
Pd 0.500 0.418 0.084
Pa 0.500 0.417 0.583
Zr 0.000 0.083 0.917
```

***

8.
Entry from Alexandria: ZrPa2Pd after structural relaxation (PBE). Values from VASP.

- Mass density: 11.948 g cm⁻³
- ΔH_f (0 K): 71 meV/atom
- Space-group type: No. 166
- E_tot: -8.11 eV/atom

Cell and atoms, written as Quantum ESPRESSO input:
```
&SYSTEM
  ibrav = 0, nat = 4, ntyp = 3
/
ATOMIC_SPECIES
Zr 91.22 Zr.upf
Pa 231.04 Pa.upf
Pd 106.42 Pd.upf
CELL_PARAMETERS angstrom
-0.601 -1.026 -2.866
2.208 -1.458 -1.621
-2.783 -10.461 2.648
ATOMIC_POSITIONS crystal
Zr 0.500 0.500 0.500
Pa 0.082 0.082 0.754
Pa 0.918 0.918 0.246
Pd 0.000 0.000 0.000
```

***

9.
Entry from Alexandria: ZrPaPd3 after structural relaxation (PBE). Values from VASP.

- Mass density: 10.596 g cm⁻³
- ΔH_f (0 K): -413 meV/atom
- Space-group type: No. 63
- E_tot: -7.14 eV/atom

Cell and atoms, written as Quantum ESPRESSO input:
```
&SYSTEM
  ibrav = 0, nat = 10, ntyp = 3
/
ATOMIC_SPECIES
Pa 231.04 Pa.upf
Pd 106.42 Pd.upf
Zr 91.22 Zr.upf
CELL_PARAMETERS angstrom
5.317 -0.005 0.003
0.004 4.810 -2.552
-0.002 0.850 7.411
ATOMIC_POSITIONS crystal
Pa 0.750 0.811 0.622
Pa 0.250 0.189 0.378
Pd 0.750 0.396 0.289
Pd 0.250 0.107 0.711
Pd 0.750 0.893 0.289
Pd 0.250 0.604 0.711
Pd 0.500 0.000 0.000
Pd 0.000 0.000 0.000
Zr 0.250 0.544 0.088
Zr 0.750 0.456 0.912
```

***

10.
Entry from Alexandria: ZrPa2Pd after structural relaxation (PBE). Values from VASP.

- Mass density: 11.810 g cm⁻³
- ΔH_f (0 K): -21 meV/atom
- Space-group type: No. 123
- E_tot: -8.20 eV/atom

Cell and atoms, written as Quantum ESPRESSO input:
```
&SYSTEM
  ibrav = 0, nat = 4, ntyp = 3
/
ATOMIC_SPECIES
Zr 91.22 Zr.upf
Pd 106.42 Pd.upf
Pa 231.04 Pa.upf
CELL_PARAMETERS angstrom
3.707 0.000 0.000
0.000 3.707 0.000
0.000 0.000 6.752
ATOMIC_POSITIONS crystal
Zr 0.500 0.500 0.500
Pd 0.500 0.500 0.000
Pa 0.000 0.000 0.778
Pa 0.000 0.000 0.222
```

***

11.
Entry from Alexandria: PmPa after structural relaxation (PBE). Values from VASP.

- Mass density: 10.636 g cm⁻³
- ΔH_f (0 K): 131 meV/atom
- Space-group type: No. 129
- E_tot: -6.99 eV/atom

Cell and atoms, written as Quantum ESPRESSO input:
```
&SYSTEM
  ibrav = 0, nat = 4, ntyp = 2
/
ATOMIC_SPECIES
Pa 231.04 Pa.upf
Pm 145.00 Pm.upf
CELL_PARAMETERS angstrom
-1.764 2.980 0.201
-1.714 -1.201 2.766
6.882 3.677 5.861
ATOMIC_POSITIONS crystal
Pa 0.250 0.250 0.105
Pa 0.750 0.750 0.895
Pm 0.250 0.250 0.655
Pm 0.750 0.750 0.345
```

***

12.
Entry from Alexandria: Pm3Pa after structural relaxation (PBE). Values from VASP.

- Mass density: 8.792 g cm⁻³
- ΔH_f (0 K): 245 meV/atom
- Space-group type: No. 25
- E_tot: -5.69 eV/atom

Cell and atoms, written as Quantum ESPRESSO input:
```
&SYSTEM
  ibrav = 0, nat = 4, ntyp = 2
/
ATOMIC_SPECIES
Pa 231.04 Pa.upf
Pm 145.00 Pm.upf
CELL_PARAMETERS angstrom
-3.428 0.114 0.435
0.538 -2.935 5.010
0.571 5.387 3.095
ATOMIC_POSITIONS crystal
Pa 0.000 0.000 0.008
Pm 0.500 0.500 0.829
Pm 0.500 0.000 0.520
Pm 0.000 0.500 0.309
```

***

13.
Entry from Alexandria: Pm3Pa after structural relaxation (PBE). Values from VASP.

- Mass density: 8.785 g cm⁻³
- ΔH_f (0 K): 269 meV/atom
- Space-group type: No. 221
- E_tot: -5.67 eV/atom

Cell and atoms, written as Quantum ESPRESSO input:
```
&SYSTEM
  ibrav = 0, nat = 4, ntyp = 2
/
ATOMIC_SPECIES
Pm 145.00 Pm.upf
Pa 231.04 Pa.upf
CELL_PARAMETERS angstrom
5.012 0.000 0.000
0.000 5.012 0.000
0.000 0.000 5.012
ATOMIC_POSITIONS crystal
Pm 0.500 0.000 0.500
Pm 0.500 0.500 0.000
Pm 0.000 0.500 0.500
Pa 0.000 0.000 0.000
```

***

14.
Entry from Alexandria: PmPa2 after structural relaxation (PBE). Values from VASP.

- Mass density: 12.062 g cm⁻³
- ΔH_f (0 K): 244 meV/atom
- Space-group type: No. 227
- E_tot: -7.67 eV/atom

Cell and atoms, written as Quantum ESPRESSO input:
```
&SYSTEM
  ibrav = 0, nat = 6, ntyp = 2
/
ATOMIC_SPECIES
Pa 231.04 Pa.upf
Pm 145.00 Pm.upf
CELL_PARAMETERS angstrom
6.183 0.000 0.000
3.092 5.355 0.000
3.092 1.785 5.048
ATOMIC_POSITIONS crystal
Pa 0.625 0.125 0.625
Pa 0.125 0.625 0.625
Pa 0.625 0.625 0.125
Pa 0.625 0.625 0.625
Pm 0.000 0.000 0.000
Pm 0.250 0.250 0.250
```

***

15.
Entry from Alexandria: PmPa after structural relaxation (PBE). Values from VASP.

- Mass density: 10.969 g cm⁻³
- ΔH_f (0 K): 248 meV/atom
- Space-group type: No. 187
- E_tot: -6.88 eV/atom

Cell and atoms, written as Quantum ESPRESSO input:
```
&SYSTEM
  ibrav = 0, nat = 2, ntyp = 2
/
ATOMIC_SPECIES
Pm 145.00 Pm.upf
Pa 231.04 Pa.upf
CELL_PARAMETERS angstrom
3.338 0.000 0.000
-1.669 2.890 0.000
0.000 0.000 5.901
ATOMIC_POSITIONS crystal
Pm 0.000 0.000 0.000
Pa 0.333 0.667 0.500
```

***

16.
Entry from Alexandria: Pm3Pa after structural relaxation (PBE). Values from VASP.

- Mass density: 8.768 g cm⁻³
- ΔH_f (0 K): 280 meV/atom
- Space-group type: No. 139
- E_tot: -5.66 eV/atom

Cell and atoms, written as Quantum ESPRESSO input:
```
&SYSTEM
  ibrav = 0, nat = 4, ntyp = 2
/
ATOMIC_SPECIES
Pm 145.00 Pm.upf
Pa 231.04 Pa.upf
CELL_PARAMETERS angstrom
6.208 0.048 0.000
2.197 5.807 0.000
-4.203 -2.927 3.509
ATOMIC_POSITIONS crystal
Pm 0.750 0.250 0.500
Pm 0.250 0.750 0.500
Pm 0.500 0.500 0.000
Pa 0.000 0.000 0.000
```

***

17.
Entry from Alexandria: PmPa2 after structural relaxation (PBE). Values from VASP.

- Mass density: 12.368 g cm⁻³
- ΔH_f (0 K): 195 meV/atom
- Space-group type: No. 139
- E_tot: -7.72 eV/atom

Cell and atoms, written as Quantum ESPRESSO input:
```
&SYSTEM
  ibrav = 0, nat = 3, ntyp = 2
/
ATOMIC_SPECIES
Pa 231.04 Pa.upf
Pm 145.00 Pm.upf
CELL_PARAMETERS angstrom
3.233 0.000 0.000
0.000 3.233 0.000
-1.616 -1.616 7.798
ATOMIC_POSITIONS crystal
Pa 0.327 0.327 0.653
Pa 0.673 0.673 0.347
Pm 0.000 0.000 0.000
```

***

18.
Entry from Alexandria: Pm3Pa after structural relaxation (PBE). Values from VASP.

- Mass density: 8.793 g cm⁻³
- ΔH_f (0 K): 237 meV/atom
- Space-group type: No. 44
- E_tot: -5.70 eV/atom

Cell and atoms, written as Quantum ESPRESSO input:
```
&SYSTEM
  ibrav = 0, nat = 4, ntyp = 2
/
ATOMIC_SPECIES
Pm 145.00 Pm.upf
Pa 231.04 Pa.upf
CELL_PARAMETERS angstrom
-2.423 -0.461 2.463
-3.799 -2.414 -4.189
5.268 -3.903 1.985
ATOMIC_POSITIONS crystal
Pm 0.500 0.483 0.000
Pm 0.737 0.085 0.475
Pm 0.263 0.610 0.525
Pa 0.000 0.988 0.000
```

***

19.
Entry from Alexandria: Pm2PrPa after structural relaxation (PBE). Values from VASP.

- Mass density: 8.725 g cm⁻³
- ΔH_f (0 K): 333 meV/atom
- Space-group type: No. 166
- E_tot: -5.61 eV/atom

Cell and atoms, written as Quantum ESPRESSO input:
```
&SYSTEM
  ibrav = 0, nat = 4, ntyp = 3
/
ATOMIC_SPECIES
Pm 145.00 Pm.upf
Pa 231.04 Pa.upf
Pr 140.91 Pr.upf
CELL_PARAMETERS angstrom
3.398 0.000 0.000
1.699 2.943 0.000
1.699 0.981 12.600
ATOMIC_POSITIONS crystal
Pm 0.085 0.085 0.744
Pm 0.915 0.915 0.256
Pa 0.000 0.000 0.000
Pr 0.500 0.500 0.500
```

***

20.
Entry from Alexandria: Pm2PrPa after structural relaxation (PBE). Values from VASP.

- Mass density: 8.636 g cm⁻³
- ΔH_f (0 K): 149 meV/atom
- Space-group type: No. 123
- E_tot: -5.80 eV/atom

Cell and atoms, written as Quantum ESPRESSO input:
```
&SYSTEM
  ibrav = 0, nat = 4, ntyp = 3
/
ATOMIC_SPECIES
Pa 231.04 Pa.upf
Pm 145.00 Pm.upf
Pr 140.91 Pr.upf
CELL_PARAMETERS angstrom
-2.285 -1.915 1.760
2.162 -2.701 -0.132
4.436 3.104 9.134
ATOMIC_POSITIONS crystal
Pa 0.500 0.500 0.000
Pm 0.000 0.000 0.775
Pm 0.000 0.000 0.225
Pr 0.500 0.500 0.500
```